{
  "formula": "MnCuGe2",
  "functional": "PBE",
  "state": "relaxed",
  "lattice": [[2.890, 0.000, 0.000], [1.445, 2.503, 0.000], [1.445, 0.834, 8.389]],
  "species": ["Mn", "Cu", "Ge", "Ge"],
  "fractional_positions": [[0.500, 0.500, 0.500], [0.000, 0.000, 0.000], [0.094, 0.094, 0.717], [0.906, 0.906, 0.283]],
  "mass_density_g_cm3": 7.22,
  "dft_energy_ev_per_atom": -5.465,
  "e_form_ev_per_atom": 0.16
}